# 1
First-principles (PBE-GGA) data for a relaxed DySi3Rh2 crystal, as listed in Alexandria via LeMat-Bulk.

a b c (Å): 5.9443 5.5436 5.9442
angles (deg): 90.00 101.51 90.00
Element x y z (fractional)
1 Si 0.1502 0.7500 0.4466
2 Si 0.5534 0.2500 0.8498
3 Si 0.0405 0.7500 0.0405
4 Si 0.4466 0.7500 0.1502
5 Si 0.8498 0.2500 0.5534
6 Si 0.9595 0.2500 0.9595
7 Rh 0.7856 0.0000 0.2145
8 Rh 0.2144 0.0000 0.7855
9 Rh 0.2144 0.5000 0.7855
10 Rh 0.7856 0.5000 0.2145
11 Dy 0.3344 0.2500 0.3343
12 Dy 0.6656 0.7500 0.6657

Summary:
Formation energy from raw total energies in eV per atom: -0.79

=====

# 2
First-principles (PBE-GGA) data for a relaxed HfCoTeN2 crystal, as listed in Alexandria via LeMat-Bulk.

a b c (Å): 3.9239 3.9239 4.8425
angles (deg): 90.00 90.00 90.00
Each line ends with the local moment (μB).
Element x y z (fractional)
1 N 0.5000 0.0000 0.0000  0.29
2 N 0.0000 0.5000 0.0000  0.29
3 Co 0.0000 0.0000 0.0000  0.97
4 Te 0.0000 0.0000 0.5000  0.00
5 Hf 0.5000 0.5000 0.5000  -0.06

Summary:
ΔE to the lowest computed polymorph in eV per atom: 0.282
Formation energy from raw total energies in eV per atom: 0.94

=====

# 3
First-principles (PBE-GGA) data for a relaxed LaPm2Te crystal, as listed in Alexandria via LeMat-Bulk.

a b c (Å): 4.0931 6.5447 10.2629
angles (deg): 90.00 90.00 108.21
Element x y z (fractional)
1 La 0.9442 0.8890 0.2500
2 La 0.0558 0.1110 0.7500
3 Pm 0.6366 0.2733 0.4644
4 Pm 0.3634 0.7267 0.5356
5 Pm 0.3634 0.7267 0.9644
6 Pm 0.6366 0.2733 0.0356
7 Te 0.2312 0.4625 0.2500
8 Te 0.7688 0.5375 0.7500

Summary:
ΔE to the lowest computed polymorph in eV per atom: 0.000
Formation energy from raw total energies in eV per atom: -0.70

=====

# 4
First-principles (PBE-GGA) data for a relaxed IrS3Cl11 crystal, as listed in Alexandria via LeMat-Bulk.

a b c (Å): 13.8103 8.9907 15.8534
angles (deg): 75.80 90.00 90.00
Element x y z (fractional)
1 Cl 0.1102 0.6431 0.2770
2 Cl 0.0522 0.3118 0.5705
3 Cl 0.2326 0.0666 0.6242
4 Cl 0.2725 0.6152 0.0315
5 Cl 0.1522 0.9507 0.8277
6 Cl 0.4996 0.2029 0.3950
7 Cl 0.8478 0.0493 0.1723
8 Cl 0.1044 0.3759 0.0891
9 Cl 0.5468 0.2662 0.7991
10 Cl 0.6102 0.3569 0.2230
11 Cl 0.3956 0.3759 0.5891
12 Cl 0.3142 0.3301 0.2372
13 Cl 0.2275 0.6152 0.5315
14 Cl 0.3478 0.9507 0.3277
15 Cl 0.7603 0.6442 0.0670
16 Cl 0.6265 0.9728 0.1503
17 Cl 0.9996 0.7971 0.1050
18 Cl 0.4532 0.7338 0.2009
19 Cl 0.5522 0.6882 0.9295
20 Cl 0.0468 0.7338 0.7009
21 Cl 0.7275 0.3848 0.9685
22 Cl 0.2397 0.3558 0.9330
23 Cl 0.9478 0.6882 0.4295
24 Cl 0.7397 0.6442 0.5670
25 Cl 0.2673 0.0666 0.1242
26 Cl 0.2603 0.3558 0.4330
27 Cl 0.8898 0.3569 0.7230
28 Cl 0.7725 0.3848 0.4685
29 Cl 0.5004 0.7971 0.6050
30 Cl 0.4478 0.3118 0.0705
31 Cl 0.6522 0.0493 0.6723
32 Cl 0.3735 0.0272 0.8497
33 Cl 0.6858 0.6699 0.7628
34 Cl 0.9532 0.2662 0.2991
35 Cl 0.7674 0.9334 0.3758
36 Cl 0.0004 0.2029 0.8950
37 Cl 0.8956 0.6241 0.9109
38 Cl 0.8735 0.9728 0.6503
39 Cl 0.6044 0.6241 0.4109
40 Cl 0.7326 0.9334 0.8758
41 Cl 0.8142 0.6699 0.2628
42 Cl 0.1265 0.0272 0.3497
43 Cl 0.1858 0.3301 0.7372
44 Cl 0.3898 0.6431 0.7770
45 Ir 0.9059 0.8717 0.2972
46 Ir 0.4059 0.1283 0.2028
47 Ir 0.0941 0.1283 0.7028
48 Ir 0.5941 0.8717 0.7972
49 S 0.9782 0.0411 0.3621
50 S 0.5218 0.0411 0.8621
51 S 0.5375 0.1570 0.2787
52 S 0.7489 0.6191 0.9417
53 S 0.4782 0.9589 0.1379
54 S 0.0218 0.9589 0.6379
55 S 0.2511 0.3809 0.0583
56 S 0.0375 0.8430 0.2213
57 S 0.2489 0.3809 0.5583
58 S 0.9625 0.1570 0.7787
59 S 0.4625 0.8430 0.7213
60 S 0.7511 0.6191 0.4417

Summary:
Formation energy from raw total energies in eV per atom: -0.30

=====

# 5
First-principles (PBE-GGA) data for a relaxed LiMo4 crystal, as listed in Alexandria via LeMat-Bulk.

a b c (Å): 4.2277 4.2277 4.2277
angles (deg): 90.00 90.00 90.00
Element x y z (fractional)
1 Mo 0.5000 0.5000 0.0000
2 Mo 0.5000 0.0000 0.5000
3 Mo 0.0000 0.0000 0.0000
4 Mo 0.0000 0.5000 0.5000
5 Li 0.5000 0.5000 0.5000

Summary:
Formation energy in eV per atom: 1.2940

=====

# 6
First-principles (PBE-GGA) data for a relaxed MnCoPt14 crystal, as listed in Alexandria via LeMat-Bulk.

a b c (Å): 5.5543 5.5543 9.2066
angles (deg): 90.00 90.00 119.94
Each line ends with the local moment (μB).
Element x y z (fractional)
1 Pt 0.3748 0.1274 0.7391  0.20
2 Pt 0.3748 0.1274 0.2609  0.20
3 Pt 0.3769 0.6231 0.7442  0.20
4 Pt 0.8764 0.1236 0.7456  0.12
5 Pt 0.3769 0.6231 0.2558  0.20
6 Pt 0.5437 0.9559 0.5000  0.27
7 Pt 0.8726 0.6252 0.2609  0.20
8 Pt 0.2072 0.7928 0.0000  0.12
9 Pt 0.7069 0.2931 0.0000  -0.07
10 Pt 0.8726 0.6252 0.7391  0.20
11 Pt 0.0441 0.4563 0.5000  0.27
12 Pt 0.2075 0.2927 0.0000  0.12
13 Pt 0.7073 0.7925 0.0000  0.12
14 Pt 0.8764 0.1236 0.2544  0.12
15 Co 0.5402 0.4598 0.5000  2.08
16 Mn 0.0416 0.9584 0.5000  3.75

Summary:
Formation energy in eV per atom: -0.0727

=====

# 7
First-principles (PBE-GGA) data for a relaxed Ca3Al4SiO12 crystal, as listed in Alexandria via LeMat-Bulk.

a b c (Å): 5.5821 5.5883 10.4008
angles (deg): 87.27 108.32 120.39
Each line ends with the local moment (μB).
Element x y z (fractional)
1 Al 0.2968 0.6433 0.2104  0.00
2 Al 0.4961 0.9878 0.5052  -0.01
3 Al 0.6886 0.3491 0.7954  0.00
4 Al 0.3869 0.7049 0.7943  0.00
5 Ca 0.8597 0.6731 0.5495  0.01
6 Ca 0.1288 0.3250 0.4564  0.00
7 Ca 0.1355 0.0737 0.9314  0.00
8 O 0.3163 0.7028 0.6157  0.09
9 O 0.4729 0.7214 0.3911  0.13
10 O 0.0530 0.6452 0.8183  0.03
11 O 0.4056 0.4344 0.1466  0.00
12 O 0.3802 0.9597 0.1369  0.00
13 O 0.5263 0.2703 0.6122  0.21
14 O 0.6651 0.2844 0.3837  0.02
15 O 0.1244 0.9301 0.4107  0.60
16 O 0.8766 0.0748 0.6046  0.50
17 O 0.6854 0.0535 0.8678  0.02
18 O 0.9193 0.4279 0.1962  0.04
19 O 0.4835 0.4515 0.8551  0.02
20 Si 0.5989 0.2871 0.2187  0.00

Summary:
Formation energy from raw total energies in eV per atom: -2.75

=====

# 8
First-principles (PBE-GGA) data for a relaxed TcAs2Pt crystal, as listed in Alexandria via LeMat-Bulk.

a b c (Å): 3.1320 5.1594 5.2444
angles (deg): 48.37 90.00 90.00
Element x y z (fractional)
1 Tc 0.0000 0.0000 0.5000
2 As 0.5000 0.5000 0.0000
3 As 0.0000 0.0000 0.0000
4 Pt 0.5000 0.5000 0.5000

Summary:
Formation energy in eV per atom: -0.0143
ΔE to the lowest computed polymorph in eV per atom: 0.090

=====

# 9
First-principles (PBE-GGA) data for a relaxed ScNb2AlPt crystal, as listed in Alexandria via LeMat-Bulk.

a b c (Å): 4.7294 4.7565 4.7294
angles (deg): 90.00 90.00 90.00
Element x y z (fractional)
1 Sc 0.0000 0.0000 0.0000
2 Nb 0.0000 0.0000 0.5000
3 Nb 0.5000 0.0000 0.0000
4 Pt 0.0000 0.5000 0.0000
5 Al 0.5000 0.5000 0.5000

Summary:
Formation energy in eV per atom: 1.1568

=====

# 10
First-principles (PBE-GGA) data for a relaxed CaErAgSn crystal, as listed in Alexandria via LeMat-Bulk.

a b c (Å): 5.2523 5.2523 5.2523
angles (deg): 60.00 60.00 60.00
Element x y z (fractional)
1 Ag 0.7500 0.7500 0.7500
2 Sn 0.2500 0.2500 0.2500
3 Ca 0.5000 0.5000 0.5000
4 Er 0.0000 0.0000 0.0000

Summary:
Formation energy in eV per atom: -0.5237

=====

# 11
First-principles (PBE-GGA) data for a relaxed K2InTe2 crystal, as listed in Alexandria via LeMat-Bulk.

a b c (Å): 4.4619 4.4619 10.8318
angles (deg): 78.11 78.11 90.00
Element x y z (fractional)
1 K 0.3853 0.3853 0.2295
2 K 0.6147 0.6147 0.7705
3 Te 0.7500 0.2500 0.5000
4 Te 0.2500 0.7500 0.5000
5 In 0.0000 0.0000 0.0000

Summary:
ΔE to the lowest computed polymorph in eV per atom: 0.535
Formation energy from raw total energies in eV per atom: -0.25

=====

# 12
First-principles (PBE-GGA) data for a relaxed MgRh3C crystal, as listed in Alexandria via LeMat-Bulk.

a b c (Å): 2.8480 7.1367 7.1367
angles (deg): 135.73 90.00 90.00
Each line ends with the local moment (μB).
Element x y z (fractional)
1 Rh 0.5000 0.1594 0.3219  0.05
2 Rh 0.0000 0.2697 0.7303  0.29
3 Rh 0.5000 0.6781 0.8406  0.06
4 C 0.0000 0.4236 0.5764  -0.01
5 Mg 0.5000 0.0973 0.9027  0.00

Summary:
Formation energy in eV per atom: 0.5544